1.
Computed, not measured: an optimized crystal structure of Ho2Se3O9 at the PBEsol level of DFT.

a = 6.654 Å, b = 8.124 Å, c = 13.692 Å
α = 90.00°, β = 90.00°, γ = 90.00°
Positions (direct):
1 Ho 0.185 0.209 0.561
2 Ho 0.185 0.209 0.939
3 Ho 0.315 0.709 0.561
4 Ho 0.315 0.709 0.939
5 Ho 0.685 0.291 0.061
6 Ho 0.685 0.291 0.439
7 Ho 0.815 0.791 0.061
8 Ho 0.815 0.791 0.439
9 Se 0.096 0.968 0.750
10 Se 0.176 0.451 0.127
11 Se 0.176 0.451 0.373
12 Se 0.324 0.951 0.127
13 Se 0.324 0.951 0.373
14 Se 0.404 0.468 0.750
15 Se 0.596 0.532 0.250
16 Se 0.676 0.049 0.627
17 Se 0.676 0.049 0.873
18 Se 0.824 0.549 0.627
19 Se 0.824 0.549 0.873
20 Se 0.904 0.032 0.250
21 O 0.031 0.281 0.099
22 O 0.031 0.281 0.401
23 O 0.069 0.178 0.750
24 O 0.085 0.617 0.066
25 O 0.085 0.617 0.434
26 O 0.136 0.920 0.042
27 O 0.136 0.920 0.458
28 O 0.252 0.958 0.851
29 O 0.252 0.958 0.649
30 O 0.248 0.458 0.851
31 O 0.248 0.458 0.649
32 O 0.364 0.420 0.042
33 O 0.364 0.420 0.458
34 O 0.415 0.117 0.066
35 O 0.415 0.117 0.434
36 O 0.431 0.678 0.750
37 O 0.469 0.781 0.099
38 O 0.469 0.781 0.401
39 O 0.531 0.219 0.599
40 O 0.531 0.219 0.901
41 O 0.569 0.322 0.250
42 O 0.585 0.883 0.566
43 O 0.585 0.883 0.934
44 O 0.636 0.580 0.542
45 O 0.636 0.580 0.958
46 O 0.752 0.542 0.149
47 O 0.752 0.542 0.351
48 O 0.748 0.042 0.149
49 O 0.748 0.042 0.351
50 O 0.864 0.080 0.542
51 O 0.864 0.080 0.958
52 O 0.915 0.383 0.566
53 O 0.915 0.383 0.934
54 O 0.931 0.822 0.250
55 O 0.969 0.719 0.599
56 O 0.969 0.719 0.901

Calculated values
- formation energy without anion corrections (eV per formula unit) = -26.1
- size of the total moment (Bohr magnetons per cell) = 0.0
- space-group type = No. 62

***

2.
Computed, not measured: an optimized crystal structure of Ho2Se3O12 at the PBEsol level of DFT.

a = 6.683 Å, b = 6.683 Å, c = 11.110 Å
α = 99.58°, β = 99.58°, γ = 116.66°
Positions (direct):
1 Ho 0.957 0.707 0.408
2 Ho 0.707 0.957 0.908
3 Ho 0.293 0.043 0.092
4 Ho 0.043 0.293 0.592
5 Se 0.790 0.529 0.076
6 Se 0.529 0.790 0.576
7 Se 0.883 0.117 0.250
8 Se 0.117 0.883 0.750
9 Se 0.471 0.210 0.424
10 Se 0.210 0.471 0.924
11 O 0.976 0.581 0.213
12 O 0.788 0.869 0.288
13 O 0.680 0.077 0.121
14 O 0.335 0.769 0.454
15 O 0.890 0.791 0.043
16 O 0.576 0.468 0.394
17 O 0.581 0.976 0.713
18 O 0.532 0.424 0.106
19 O 0.209 0.110 0.457
20 O 0.231 0.665 0.046
21 O 0.923 0.320 0.379
22 O 0.869 0.788 0.788
23 O 0.131 0.212 0.212
24 O 0.077 0.680 0.621
25 O 0.769 0.335 0.954
26 O 0.791 0.890 0.543
27 O 0.468 0.576 0.894
28 O 0.419 0.024 0.287
29 O 0.424 0.532 0.606
30 O 0.110 0.209 0.957
31 O 0.665 0.231 0.546
32 O 0.320 0.923 0.879
33 O 0.212 0.131 0.712
34 O 0.024 0.419 0.787

Calculated values
- formation energy without anion corrections (eV per formula unit) = -26.4
- size of the total moment (Bohr magnetons per cell) = 0.0
- space-group type = No. 15

***

3.
Computed, not measured: an optimized crystal structure of SrHo2O4 at the PBEsol level of DFT.

a = 3.375 Å, b = 9.951 Å, c = 11.785 Å
α = 90.00°, β = 90.00°, γ = 90.00°
Positions (direct):
1 Sr 0.750 0.252 0.150
2 Sr 0.750 0.752 0.350
3 Sr 0.250 0.248 0.650
4 Sr 0.250 0.748 0.850
5 Ho 0.250 0.576 0.111
6 Ho 0.750 0.922 0.111
7 Ho 0.250 0.578 0.611
8 Ho 0.750 0.924 0.611
9 Ho 0.250 0.076 0.389
10 Ho 0.250 0.078 0.889
11 Ho 0.750 0.424 0.889
12 Ho 0.750 0.422 0.389
13 O 0.750 0.427 0.578
14 O 0.250 0.874 0.481
15 O 0.750 0.515 0.217
16 O 0.250 0.485 0.783
17 O 0.250 0.985 0.717
18 O 0.250 0.374 0.019
19 O 0.750 0.712 0.675
20 O 0.250 0.073 0.078
21 O 0.250 0.788 0.175
22 O 0.750 0.126 0.519
23 O 0.250 0.288 0.325
24 O 0.750 0.212 0.825
25 O 0.750 0.015 0.283
26 O 0.250 0.573 0.422
27 O 0.750 0.927 0.922
28 O 0.750 0.626 0.981

Calculated values
- formation energy without anion corrections (eV per formula unit) = -24.0
- size of the total moment (Bohr magnetons per cell) = 0.0
- space-group type = No. 62

***

4.
Computed, not measured: an optimized crystal structure of Sr2HoTaO6 at the PBEsol level of DFT.

a = 5.769 Å, b = 5.855 Å, c = 8.198 Å
α = 90.00°, β = 89.81°, γ = 90.00°
Positions (direct):
1 Sr 0.991 0.462 0.250
2 Sr 0.009 0.538 0.750
3 Sr 0.509 0.962 0.250
4 Sr 0.491 0.038 0.750
5 Ho 0.000 0.000 0.500
6 Ho 0.500 0.500 0.000
7 Ta 0.000 0.000 0.000
8 Ta 0.500 0.500 0.500
9 O 0.082 0.024 0.236
10 O 0.918 0.976 0.764
11 O 0.418 0.524 0.264
12 O 0.582 0.476 0.736
13 O 0.804 0.725 0.045
14 O 0.196 0.275 0.955
15 O 0.696 0.225 0.455
16 O 0.304 0.775 0.545
17 O 0.725 0.198 0.041
18 O 0.275 0.802 0.959
19 O 0.775 0.698 0.459
20 O 0.225 0.302 0.541

Calculated values
- formation energy without anion corrections (eV per formula unit) = -32.4
- size of the total moment (Bohr magnetons per cell) = 0.0
- space-group type = No. 14

***

5.
Computed, not measured: an optimized crystal structure of HoTa3O9 at the PBEsol level of DFT.

a = 5.217 Å, b = 7.424 Å, c = 8.208 Å
α = 90.00°, β = 92.50°, γ = 90.00°
Positions (direct):
1 Ho 0.034 0.250 0.434
2 Ho 0.966 0.750 0.566
3 Ta 0.000 0.000 0.000
4 Ta 0.000 0.500 0.000
5 Ta 0.470 0.492 0.696
6 Ta 0.470 0.008 0.696
7 Ta 0.530 0.992 0.304
8 Ta 0.530 0.508 0.304
9 O 0.103 0.250 0.977
10 O 0.144 0.933 0.783
11 O 0.144 0.567 0.783
12 O 0.256 0.956 0.467
13 O 0.256 0.544 0.467
14 O 0.329 0.250 0.652
15 O 0.329 0.943 0.118
16 O 0.329 0.557 0.118
17 O 0.421 0.250 0.313
18 O 0.579 0.750 0.687
19 O 0.671 0.057 0.882
20 O 0.671 0.443 0.882
21 O 0.671 0.750 0.348
22 O 0.744 0.044 0.533
23 O 0.744 0.456 0.533
24 O 0.856 0.067 0.217
25 O 0.856 0.433 0.217
26 O 0.897 0.750 0.023

Calculated values
- formation energy without anion corrections (eV per formula unit) = -39.8
- size of the total moment (Bohr magnetons per cell) = 0.0
- space-group type = No. 11

***

6.
Computed, not measured: an optimized crystal structure of HoTa7O19 at the PBEsol level of DFT.

a = 6.195 Å, b = 6.195 Å, c = 19.897 Å
α = 90.00°, β = 90.00°, γ = 120.00°
Positions (direct):
1 Ho 0.333 0.667 0.000
2 Ho 0.333 0.667 0.500
3 Ta 0.305 0.334 0.845
4 Ta 0.305 0.334 0.655
5 Ta 0.029 0.334 0.345
6 Ta 0.029 0.334 0.155
7 Ta 0.305 0.971 0.155
8 Ta 0.305 0.971 0.345
9 Ta 0.000 0.000 0.500
10 Ta 0.000 0.000 0.000
11 Ta 0.029 0.695 0.845
12 Ta 0.029 0.695 0.655
13 Ta 0.666 0.971 0.845
14 Ta 0.666 0.971 0.655
15 Ta 0.666 0.695 0.155
16 Ta 0.666 0.695 0.345
17 O 0.667 0.086 0.347
18 O 0.667 0.086 0.153
19 O 0.620 0.909 0.750
20 O 0.418 0.086 0.653
21 O 0.418 0.086 0.847
22 O 0.620 0.711 0.250
23 O 0.667 0.582 0.847
24 O 0.667 0.582 0.653
25 O 0.289 0.909 0.250
26 O 0.333 0.667 0.870
27 O 0.333 0.667 0.130
28 O 0.333 0.667 0.370
29 O 0.333 0.667 0.630
30 O 0.091 0.711 0.750
31 O 0.418 0.333 0.347
32 O 0.418 0.333 0.153
33 O 0.289 0.380 0.750
34 O 0.237 0.291 0.944
35 O 0.237 0.291 0.556
36 O 0.914 0.582 0.153
37 O 0.914 0.582 0.347
38 O 0.091 0.380 0.250
39 O 0.054 0.291 0.056
40 O 0.054 0.291 0.444
41 O 0.914 0.333 0.847
42 O 0.914 0.333 0.653
43 O 0.237 0.946 0.444
44 O 0.237 0.946 0.056
45 O 0.000 0.000 0.667
46 O 0.000 0.000 0.167
47 O 0.000 0.000 0.333
48 O 0.000 0.000 0.833
49 O 0.054 0.763 0.944
50 O 0.054 0.763 0.556
51 O 0.709 0.946 0.944
52 O 0.709 0.946 0.556
53 O 0.709 0.763 0.444
54 O 0.709 0.763 0.056

Calculated values
- formation energy without anion corrections (eV per formula unit) = -79.7
- size of the total moment (Bohr magnetons per cell) = 0.0
- space-group type = No. 188